Entry from Alexandria: a relaxed structure of Ba2TaMn (PBE).

Unit cell a=3.443 b=3.879 c=19.562 alpha=90.00 beta=90.00 gamma=90.00
Sites, in units of the cell vectors:
Ba1 0.000 0.000 0.150
Ba2 0.000 0.000 0.850
Ba3 0.500 0.500 0.350
Ba4 0.500 0.500 0.650
Ta1 0.000 0.500 0.000
Ta2 0.500 0.000 0.500
Mn1 0.000 0.500 0.500
Mn2 0.500 0.000 0.000

Final energy (eV/cell): -44.20
V (Å³ per cell): 261.3
Calculated formation energy (eV per atom): 0.691
ρ (kg/m3): 6490

---

Entry from Alexandria: a relaxed structure of Ba4TaMn (PBE).

Unit cell a=7.098 b=7.098 c=7.098 alpha=60.00 beta=60.00 gamma=60.00
Sites, in units of the cell vectors:
Ba1 0.376 0.376 0.376
Ba2 0.376 0.376 0.873
Ba3 0.376 0.873 0.376
Ba4 0.873 0.376 0.376
Ta1 0.750 0.750 0.750
Mn1 0.000 0.000 0.000

Final energy (eV/cell): -20.32
V (Å³ per cell): 252.9
Calculated formation energy (eV per atom): 1.398
ρ (kg/m3): 5155

---

Entry from Alexandria: a relaxed structure of BaTaMn4 (PBE).

Unit cell a=5.163 b=5.163 c=5.163 alpha=60.00 beta=60.00 gamma=60.00
Sites, in units of the cell vectors:
Ba1 0.000 0.000 0.000
Ta1 0.250 0.250 0.250
Mn1 0.134 0.622 0.622
Mn2 0.622 0.134 0.622
Mn3 0.622 0.622 0.134
Mn4 0.622 0.622 0.622

Final energy (eV/cell): -46.16
V (Å³ per cell): 97.3
Calculated formation energy (eV per atom): 0.715
ρ (kg/m3): 9179

---

Entry from Alexandria: a relaxed structure of Ba2TaMn (PBE).

Unit cell a=7.317 b=9.641 c=3.449 alpha=90.00 beta=90.00 gamma=90.00
Sites, in units of the cell vectors:
Ba1 0.250 0.250 0.000
Ba2 0.250 0.750 0.000
Ba3 0.750 0.250 0.000
Ba4 0.750 0.750 0.000
Ta1 0.000 0.000 0.500
Ta2 0.500 0.500 0.500
Mn1 0.000 0.500 0.500
Mn2 0.500 0.000 0.500

Final energy (eV/cell): -40.09
V (Å³ per cell): 243.3
Calculated formation energy (eV per atom): 1.206
ρ (kg/m3): 6969

---

Entry from Alexandria: a relaxed structure of Ba2TaMn (PBE).

Unit cell a=3.806 b=5.859 c=11.630 alpha=90.00 beta=90.00 gamma=90.00
Sites, in units of the cell vectors:
Ba1 0.000 0.000 0.000
Ba2 0.000 0.500 0.203
Ba3 0.500 0.000 0.703
Ba4 0.500 0.500 0.500
Ta1 0.000 0.500 0.802
Ta2 0.500 0.000 0.302
Mn1 0.000 0.000 0.428
Mn2 0.500 0.500 0.928

Final energy (eV/cell): -43.49
V (Å³ per cell): 259.3
Calculated formation energy (eV per atom): 0.780
ρ (kg/m3): 6538

---

Entry from Alexandria: a relaxed structure of Ba3TaMn (PBE).

Unit cell a=6.139 b=6.139 c=6.139 alpha=90.00 beta=90.00 gamma=90.00
Sites, in units of the cell vectors:
Ba1 0.000 0.000 0.500
Ba2 0.000 0.500 0.000
Ba3 0.500 0.000 0.000
Ta1 0.000 0.000 0.000
Mn1 0.500 0.500 0.500

Final energy (eV/cell): -20.55
V (Å³ per cell): 231.3
Calculated formation energy (eV per atom): 1.247
ρ (kg/m3): 4651

---

Entry from Alexandria: a relaxed structure of Ba2TaMn (PBE).

Unit cell a=7.839 b=7.839 c=7.839 alpha=90.00 beta=90.00 gamma=90.00
Sites, in units of the cell vectors:
Ba1 0.000 0.000 0.000
Ba2 0.000 0.500 0.500
Ba3 0.250 0.250 0.250
Ba4 0.250 0.750 0.750
Ba5 0.500 0.000 0.500
Ba6 0.500 0.500 0.000
Ba7 0.750 0.250 0.750
Ba8 0.750 0.750 0.250
Ta1 0.250 0.250 0.750
Ta2 0.250 0.750 0.250
Ta3 0.750 0.250 0.250
Ta4 0.750 0.750 0.750
Mn1 0.000 0.000 0.500
Mn2 0.000 0.500 0.000
Mn3 0.500 0.000 0.000
Mn4 0.500 0.500 0.500

Final energy (eV/cell): -81.27
V (Å³ per cell): 481.8
Calculated formation energy (eV per atom): 1.138
ρ (kg/m3): 7039

---

Entry from Alexandria: a relaxed structure of Ba2TaMnTc (PBE).

Unit cell a=6.027 b=6.027 c=4.286 alpha=90.00 beta=90.00 gamma=90.00
Sites, in units of the cell vectors:
Ba1 0.000 0.500 0.000
Ba2 0.500 0.000 0.000
Ta1 0.000 0.000 0.500
Mn1 0.500 0.500 0.000
Tc1 0.500 0.500 0.500

Final energy (eV/cell): -26.87
V (Å³ per cell): 155.7
Calculated formation energy (eV per atom): 1.673
ρ (kg/m3): 6491

---

Entry from Alexandria: a relaxed structure of BaTaMnTc2 (PBE).

Unit cell a=4.911 b=4.911 c=5.045 alpha=90.00 beta=90.00 gamma=90.00
Sites, in units of the cell vectors:
Ba1 0.000 0.000 0.000
Ta1 0.500 0.500 0.500
Mn1 0.500 0.500 0.000
Tc1 0.000 0.500 0.500
Tc2 0.500 0.000 0.500

Final energy (eV/cell): -38.13
V (Å³ per cell): 121.6
Calculated formation energy (eV per atom): 1.109
ρ (kg/m3): 7770

---

Entry from Alexandria: a relaxed structure of BaTaMnTc2 (PBE).

Unit cell a=4.840 b=4.840 c=5.056 alpha=90.00 beta=90.00 gamma=90.00
Sites, in units of the cell vectors:
Ba1 0.000 0.000 0.000
Ta1 0.000 0.000 0.500
Mn1 0.500 0.500 0.500
Tc1 0.000 0.500 0.000
Tc2 0.500 0.000 0.000

Final energy (eV/cell): -26.41
V (Å³ per cell): 118.5
Calculated formation energy (eV per atom): 3.454
ρ (kg/m3): 7979

---

Entry from Alexandria: a relaxed structure of Ba2TaTiMn (PBE).

Unit cell a=6.272 b=6.272 c=4.608 alpha=90.00 beta=90.00 gamma=90.00
Sites, in units of the cell vectors:
Ba1 0.000 0.500 0.000
Ba2 0.500 0.000 0.000
Ta1 0.000 0.000 0.000
Ti1 0.500 0.500 0.500
Mn1 0.000 0.000 0.500

Final energy (eV/cell): -25.28
V (Å³ per cell): 181.3
Calculated formation energy (eV per atom): 1.497
ρ (kg/m3): 5115

---

Entry from Alexandria: a relaxed structure of BaZrTaMn2 (PBE).

Unit cell a=4.808 b=4.808 c=5.294 alpha=90.00 beta=90.00 gamma=90.00
Sites, in units of the cell vectors:
Ba1 0.000 0.000 0.000
Zr1 0.000 0.000 0.500
Ta1 0.500 0.500 0.500
Mn1 0.000 0.500 0.000
Mn2 0.500 0.000 0.000

Final energy (eV/cell): -28.89
V (Å³ per cell): 122.4
Calculated formation energy (eV per atom): 2.355
ρ (kg/m3): 7048

---

Entry from Alexandria: a relaxed structure of Ba2TbMnTe5 (PBE).

Unit cell a=10.301 b=10.301 c=14.215 alpha=90.00 beta=90.00 gamma=154.34
Sites, in units of the cell vectors:
Ba1 0.119 0.881 0.500
Ba2 0.128 0.872 0.857
Ba3 0.872 0.128 0.357
Ba4 0.881 0.119 0.000
Tb1 0.197 0.803 0.192
Tb2 0.803 0.197 0.692
Mn1 0.437 0.563 0.588
Mn2 0.563 0.437 0.088
Te1 0.037 0.963 0.179
Te2 0.307 0.693 0.837
Te3 0.308 0.692 0.538
Te4 0.346 0.654 0.177
Te5 0.497 0.503 0.425
Te6 0.503 0.497 0.925
Te7 0.654 0.346 0.677
Te8 0.692 0.308 0.038
Te9 0.693 0.307 0.337
Te10 0.963 0.037 0.679

Final energy (eV/cell): -88.61
V (Å³ per cell): 653.0
ρ (kg/m3): 5729

---

Entry from Alexandria: a relaxed structure of BaTbMnTe4 (PBE).

Unit cell a=7.760 b=6.521 c=9.660 alpha=90.00 beta=107.47 gamma=90.00
Sites, in units of the cell vectors:
Ba1 0.246 0.250 0.059
Ba2 0.754 0.750 0.941
Tb1 0.268 0.250 0.562
Tb2 0.732 0.750 0.438
Mn1 0.261 0.750 0.323
Mn2 0.739 0.250 0.677
Te1 0.019 0.508 0.717
Te2 0.019 0.992 0.717
Te3 0.437 0.750 0.129
Te4 0.437 0.750 0.601
Te5 0.563 0.250 0.399
Te6 0.563 0.250 0.871
Te7 0.981 0.008 0.283
Te8 0.981 0.492 0.283

Final energy (eV/cell): -70.94
V (Å³ per cell): 466.3
ρ (kg/m3): 6137

---

Entry from Alexandria: a relaxed structure of BaMnTc2 (PBE).

Unit cell a=4.242 b=4.242 c=18.303 alpha=90.00 beta=90.00 gamma=120.00
Sites, in units of the cell vectors:
Ba1 0.000 0.000 0.000
Ba2 0.333 0.667 0.667
Ba3 0.667 0.333 0.333
Mn1 0.000 0.000 0.500
Mn2 0.333 0.667 0.167
Mn3 0.667 0.333 0.833
Tc1 0.000 0.000 0.191
Tc2 0.000 0.000 0.809
Tc3 0.333 0.667 0.475
Tc4 0.333 0.667 0.858
Tc5 0.667 0.333 0.142
Tc6 0.667 0.333 0.525

Final energy (eV/cell): -89.05
V (Å³ per cell): 285.3
Calculated formation energy (eV per atom): 0.535
ρ (kg/m3): 6780

---

Entry from Alexandria: a relaxed structure of BaMn3Tc (PBE).

Unit cell a=4.906 b=4.906 c=4.906 alpha=90.00 beta=90.00 gamma=90.00
Sites, in units of the cell vectors:
Ba1 0.000 0.000 0.000
Mn1 0.000 0.500 0.500
Mn2 0.500 0.000 0.500
Mn3 0.500 0.500 0.000
Tc1 0.500 0.500 0.500

Final energy (eV/cell): -35.95
V (Å³ per cell): 118.1
Calculated formation energy (eV per atom): 0.770
ρ (kg/m3): 5628

---

Entry from Alexandria: a relaxed structure of BaMnTc2 (PBE).

Unit cell a=6.719 b=6.719 c=6.719 alpha=90.00 beta=90.00 gamma=90.00
Sites, in units of the cell vectors:
Ba1 0.000 0.000 0.000
Ba2 0.000 0.500 0.500
Ba3 0.500 0.000 0.500
Ba4 0.500 0.500 0.000
Mn1 0.250 0.250 0.250
Mn2 0.250 0.750 0.750
Mn3 0.750 0.250 0.750
Mn4 0.750 0.750 0.250
Tc1 0.000 0.000 0.500
Tc2 0.000 0.500 0.000
Tc3 0.250 0.250 0.750
Tc4 0.250 0.750 0.250
Tc5 0.500 0.000 0.000
Tc6 0.500 0.500 0.500
Tc7 0.750 0.250 0.250
Tc8 0.750 0.750 0.750

Final energy (eV/cell): -108.95
V (Å³ per cell): 303.3
Calculated formation energy (eV per atom): 1.147
ρ (kg/m3): 8503

---

Entry from Alexandria: a relaxed structure of BaMnTc2 (PBE).

Unit cell a=3.179 b=3.184 c=8.231 alpha=90.00 beta=90.10 gamma=90.00
Sites, in units of the cell vectors:
Ba1 0.000 0.000 0.000
Mn1 0.502 0.500 0.661
Tc1 0.001 0.000 0.472
Tc2 0.501 0.500 0.317

Final energy (eV/cell): -29.62
V (Å³ per cell): 83.3
Calculated formation energy (eV per atom): 0.551
ρ (kg/m3): 7739

---

Entry from Alexandria: a relaxed structure of BaMnTc2 (PBE).

Unit cell a=5.465 b=10.138 c=2.829 alpha=90.00 beta=90.00 gamma=90.00
Sites, in units of the cell vectors:
Ba1 0.000 0.000 0.000
Ba2 0.500 0.500 0.000
Mn1 0.000 0.500 0.000
Mn2 0.500 0.000 0.000
Tc1 0.250 0.250 0.500
Tc2 0.250 0.750 0.500
Tc3 0.750 0.250 0.500
Tc4 0.750 0.750 0.500

Final energy (eV/cell): -53.08
V (Å³ per cell): 156.7
Calculated formation energy (eV per atom): 1.321
ρ (kg/m3): 8227

---

Entry from Alexandria: a relaxed structure of BaMnTc3 (PBE).

Unit cell a=4.645 b=4.645 c=4.645 alpha=90.00 beta=90.00 gamma=90.00
Sites, in units of the cell vectors:
Ba1 0.000 0.000 0.000
Mn1 0.500 0.500 0.500
Tc1 0.000 0.500 0.500
Tc2 0.500 0.000 0.500
Tc3 0.500 0.500 0.000

Final energy (eV/cell): -36.69
V (Å³ per cell): 100.2
Calculated formation energy (eV per atom): 1.100
ρ (kg/m3): 8056